Crystalline CuWO4 at its relaxed geometry. Source: Alexandria, functional PBE+U.

Cell lengths 4.6853, 5.8582, 4.9875 Å; angles 90.00, 93.16, 90.00 degrees
Fractional coordinates of all 12 atoms:
1 Cu 0.0000 0.1636 0.2500
2 Cu 0.0000 0.8364 0.7500
3 W 0.5000 0.3298 0.7500
4 W 0.5000 0.6702 0.2500
5 O 0.2391 0.1308 0.5838
6 O 0.2391 0.8692 0.0838
7 O 0.2819 0.3926 0.0633
8 O 0.2819 0.6074 0.5633
9 O 0.7181 0.3926 0.4367
10 O 0.7181 0.6074 0.9367
11 O 0.7609 0.1308 0.9162
12 O 0.7609 0.8692 0.4162

Crystal system   monoclinic
Uncorrected energy   -79.544 eV per cell
Energy above the lowest structure with this stoichiometry   12 meV/atom
D(E_F)   0.337 states/eV per atom